A plane-wave DFT calculation with GGA-PBE was carried out for Sc4Ga after structural relaxation.

Structure (POSCAR):
```
Sc4Ga
1.0
-2.294 3.822 -3.678
0.870 -4.378 -3.670
-5.627 -2.166 5.088
Sc Ga
8 2
direct
0.576 0.529 0.788
0.742 0.788 0.212
0.790 0.093 0.881
0.213 0.909 0.119
0.343 0.540 0.381
0.159 0.963 0.619
0.038 0.492 0.712
0.779 0.326 0.288
0.332 0.332 0.000
0.582 0.082 0.500
```

formation energy = -0.13 eV per atom
E_tot = -5.800 eV/atom
magnetization = 0.000 μB/atom
density of states at the Fermi level = 5.7 states/eV/f.u.
energy relative to the lowest polymorph listed for this composition = 0.18 eV/f.u.
space group = No. 43